[1]
Tb4Ce2Dy5 PBE optimized geometry; E_form = 80 meV per atom; total magnetization = 0.128 μB/atom; raw total energy = -4.775 eV/atom; space group = No. 2; density of states at the Fermi level = 1.888 states/eV/atom
1.0
3.504 0.000 0.000
-0.067 8.822 0.000
-0.106 -0.140 11.174
Tb Ce Dy
4 2 5
direct
0.211 0.089 0.262 Tb
0.239 0.268 0.797 Tb
0.761 0.732 0.203 Tb
0.789 0.911 0.738 Tb
0.245 0.456 0.366 Ce
0.755 0.544 0.634 Ce
0.239 0.638 0.912 Dy
0.263 0.820 0.476 Dy
0.500 0.000 0.000 Dy
0.737 0.180 0.524 Dy
0.761 0.362 0.088 Dy

[2]
NdPu3Pt8 PBE optimized geometry; E_form = -838 meV per atom; total magnetization = 1.344 μB/atom; raw total energy = -8.846 eV/atom; space group = No. 156; density of states at the Fermi level = 2.839 states/eV/atom
1.0
5.473 0.000 0.000
-2.737 4.740 0.000
0.000 0.000 8.974
Nd Pu Pt
1 3 8
direct
0.000 0.000 0.000 Nd
0.000 0.000 0.377 Pu
0.667 0.333 0.492 Pu
0.667 0.333 0.858 Pu
0.165 0.330 0.681 Pt
0.165 0.835 0.681 Pt
0.333 0.667 0.430 Pt
0.333 0.667 0.931 Pt
0.502 0.005 0.182 Pt
0.502 0.498 0.182 Pt
0.670 0.835 0.681 Pt
0.995 0.498 0.182 Pt

[3]
Cs3Mg2InI9 PBE optimized geometry; energy relative to the elements, uncorrected = -1095.3 meV/atom; total magnetization = 0.000 μB/atom; raw total energy = -2.591 eV/atom; space group = No. 164; density of states at the Fermi level = 0.171 states/eV/atom
1.0
8.497 0.000 0.000
-4.249 7.359 0.000
0.000 0.000 10.416
Cs Mg In I
3 2 1 9
direct
0.000 0.000 0.000 Cs
0.333 0.667 0.666 Cs
0.667 0.333 0.334 Cs
0.333 0.667 0.159 Mg
0.667 0.333 0.841 Mg
0.000 0.000 0.500 In
0.000 0.500 0.000 I
0.172 0.345 0.329 I
0.172 0.828 0.329 I
0.345 0.172 0.671 I
0.500 0.000 0.000 I
0.500 0.500 0.000 I
0.655 0.828 0.329 I
0.828 0.172 0.671 I
0.828 0.655 0.671 I

[4]
Cs2YAlBr6 PBE optimized geometry; energy relative to the elements, uncorrected = -1536.8 meV/atom; total magnetization = 0.000 μB/atom; raw total energy = -3.732 eV/atom; space group = No. 225; density of states at the Fermi level = 0.000 states/eV/atom
1.0
0.000 5.854 5.854
5.854 0.000 5.854
5.854 5.854 0.000
Cs Y Al Br
2 1 1 6
direct
0.250 0.250 0.250 Cs
0.750 0.750 0.750 Cs
0.000 0.000 0.000 Y
0.500 0.500 0.500 Al
0.240 0.240 0.760 Br
0.240 0.760 0.240 Br
0.240 0.760 0.760 Br
0.760 0.240 0.240 Br
0.760 0.240 0.760 Br
0.760 0.760 0.240 Br

[5]
Tb2GdEr PBE optimized geometry; E_form = 18 meV per atom; total magnetization = 1.779 μB/atom; raw total energy = -6.958 eV/atom; space group = No. 123; density of states at the Fermi level = 1.635 states/eV/atom
1.0
5.016 0.000 0.000
0.000 5.016 0.000
0.000 0.000 5.027
Tb Gd Er
2 1 1
direct
0.000 0.500 0.000 Tb
0.500 0.000 0.000 Tb
0.000 0.000 0.500 Gd
0.500 0.500 0.500 Er

[6]
Rb2SrS2 PBE optimized geometry; energy relative to the elements, uncorrected = -1125.6 meV/atom; total magnetization = 0.000 μB/atom; raw total energy = -3.500 eV/atom; space group = No. 127; density of states at the Fermi level = 0.000 states/eV/atom
1.0
8.362 0.000 0.000
0.000 8.362 0.000
0.000 0.000 4.827
Rb Sr S
4 2 4
direct
0.132 0.368 0.000 Rb
0.368 0.868 0.000 Rb
0.632 0.132 0.000 Rb
0.868 0.632 0.000 Rb
0.000 0.000 0.500 Sr
0.500 0.500 0.500 Sr
0.186 0.686 0.500 S
0.314 0.186 0.500 S
0.686 0.814 0.500 S
0.814 0.314 0.500 S

[7]
K2AlCd PBE optimized geometry; E_form = 83 meV per atom; total magnetization = 0.000 μB/atom; raw total energy = -1.630 eV/atom; space group = No. 8; density of states at the Fermi level = 0.869 states/eV/atom
1.0
4.215 -2.425 0.000
4.215 2.425 0.000
-2.819 0.000 8.455
K Al Cd
2 1 1
direct
0.000 0.000 0.000 K
0.184 0.184 0.549 K
0.425 0.425 0.274 Al
0.758 0.758 0.275 Cd

[8]
K2LaW PBE optimized geometry; E_form = 1264 meV per atom; total magnetization = 0.001 μB/atom; raw total energy = -3.755 eV/atom; space group = No. 47; density of states at the Fermi level = 1.085 states/eV/atom
1.0
3.507 0.000 0.000
0.000 5.172 0.000
0.000 0.000 6.858
K La W
2 1 1
direct
0.000 0.000 0.000 K
0.500 0.500 0.000 K
0.000 0.500 0.500 La
0.500 0.000 0.500 W

[9]
U3Tl3GeS8 PBE optimized geometry; energy relative to the elements, uncorrected = -944.2 meV/atom; total magnetization = 0.467 μB/atom; raw total energy = -6.184 eV/atom; space group = No. 166; density of states at the Fermi level = 0.763 states/eV/atom
1.0
4.015 2.318 7.508
-4.015 2.318 7.508
0.000 -4.636 7.508
U Tl Ge S
3 3 1 8
direct
0.000 0.500 0.500 U
0.500 0.000 0.500 U
0.500 0.500 0.000 U
0.000 0.000 0.500 Tl
0.000 0.500 0.000 Tl
0.500 0.000 0.000 Tl
0.000 0.000 0.000 Ge
0.231 0.231 0.727 S
0.231 0.727 0.231 S
0.268 0.268 0.268 S
0.273 0.769 0.769 S
0.727 0.231 0.231 S
0.732 0.732 0.732 S
0.769 0.273 0.769 S
0.769 0.769 0.273 S

[10]
VGaFe3 PBE optimized geometry; E_form = 193 meV per atom; total magnetization = 0.818 μB/atom; raw total energy = -7.314 eV/atom; space group = No. 63; density of states at the Fermi level = 0.818 states/eV/atom
1.0
2.426 -6.004 0.000
2.426 6.004 0.000
0.000 0.000 4.512
V Ga Fe
2 2 6
direct
0.184 0.816 0.750 V
0.816 0.184 0.250 V
0.420 0.580 0.250 Ga
0.580 0.420 0.750 Ga
0.000 0.000 0.000 Fe
0.000 0.000 0.500 Fe
0.105 0.407 0.750 Fe
0.407 0.105 0.250 Fe
0.593 0.895 0.750 Fe
0.895 0.593 0.250 Fe

[11]
TlBi2Pd8 PBE optimized geometry; E_form = -211 meV per atom; total magnetization = 0.000 μB/atom; raw total energy = -4.909 eV/atom; space group = No. 44; density of states at the Fermi level = 0.467 states/eV/atom
1.0
-2.212 6.451 3.517
2.212 -6.451 3.517
2.212 6.451 -3.517
Tl Bi Pd
1 2 8
direct
0.000 0.000 0.000 Tl
0.423 0.076 0.347 Bi
0.730 0.076 0.653 Bi
0.137 0.291 0.846 Pd
0.171 0.522 0.649 Pd
0.299 0.799 0.500 Pd
0.445 0.291 0.154 Pd
0.585 0.585 0.000 Pd
0.606 0.800 0.806 Pd
0.873 0.522 0.351 Pd
0.995 0.800 0.194 Pd

[12]
YSb2Os PBE optimized geometry; energy relative to the elements, uncorrected = -39.1 meV/atom; total magnetization = 0.000 μB/atom; raw total energy = -6.524 eV/atom; space group = No. 6; density of states at the Fermi level = 0.517 states/eV/atom
1.0
3.419 0.000 0.000
0.000 4.329 0.000
-1.699 0.000 7.165
Y Sb Os
1 2 1
direct
0.000 0.000 0.000 Y
0.398 0.500 0.796 Sb
0.693 0.000 0.389 Sb
0.590 0.500 0.181 Os